DFT (PBE) results for crystalline Tl5Sn5Pb2 at its relaxed geometry.

Cell lengths 5.7002, 6.2921, 11.6440 Å; angles 75.93, 75.83, 63.07 degrees
Positions (direct):
Tl: 0.8209 0.8381 0.5201
Tl: 0.2540 0.7462 0.7457
Tl: 0.7460 0.2538 0.2543
Tl: 0.1791 0.1619 0.4799
Tl: 0.0000 0.0000 0.0000
Sn: 0.5000 0.5000 0.5000
Sn: 0.3137 0.3631 0.0095
Sn: 0.4340 0.9106 0.2214
Sn: 0.5660 0.0894 0.7786
Sn: 0.6863 0.6369 0.9905
Pb: 0.9388 0.3811 0.7412
Pb: 0.0612 0.6189 0.2588

For the formation energy, the calculation gives 0.05 eV per atom. The space group is C2/m, No. 12. The calculated density comes out at 9.4 g/cm3. The magnetization is 0.0 μB per formula unit.